No. 1
The following is a DFT calculation (PBE) of a geometry-optimized Tm4Cu2H structure.

As for the theoretical density: 9085 kg/m3. The calculation puts the electronic total energy at -4.3628 eV/atom.

It has space group I4/mmm (No. 139), with a = 4.624 Å, b = 4.624 Å, c = 13.743 Å, α = 90.00°, β = 90.00° and γ = 90.00°. The asymmetric unit holds Tm at (0.000, 0.000, 0.189), Tm at (0.000, 0.500, 0.000), Cu at (0.000, 0.000, 0.383) and H at (0.000, 0.000, 0.000).

No. 2
The following is a DFT calculation (PBE) of a geometry-optimized Ta3AgO8 structure.

As for the theoretical density: 8349 kg/m3. As for the relative energy among the computed polymorphs: 0.00 eV/f.u. The raw formation energy comes out at -2.48 eV per atom.

It has space group P2_1/c (No. 14), with a = 7.774 Å, b = 5.248 Å, c = 15.878 Å, α = 90.00°, β = 107.00° and γ = 90.00°. The asymmetric unit holds Ta at (0.002, 0.235, 0.166), Ta at (0.259, 0.239, 0.417), Ta at (0.492, 0.241, 0.166), Ag at (0.229, 0.740, 0.077), O at (0.025, 0.045, 0.401), O at (0.075, 0.092, 0.781), O at (0.144, 0.545, 0.441), O at (0.229, 0.146, 0.157), O at (0.289, 0.587, 0.845), O at (0.367, 0.147, 0.535), O at (0.438, 0.559, 0.225) and O at (0.449, 0.076, 0.890).

No. 3
The following is a DFT calculation (PBE) of a geometry-optimized Cs2NaAg3Te4 structure.

As for the theoretical density: 5879 kg/m3. The raw formation energy comes out at -0.54 eV per atom.

It has space group P-4m2 (No. 115), with a = 5.208 Å, b = 5.208 Å, c = 11.693 Å, α = 90.00°, β = 90.00° and γ = 90.00°. The asymmetric unit holds Cs at (0.000, 0.500, 0.247), Na at (0.500, 0.500, 0.000), Ag at (0.000, 0.000, 0.000), Ag at (0.000, 0.500, 0.618), Te at (0.000, 0.000, 0.500), Te at (0.000, 0.500, 0.864) and Te at (0.500, 0.500, 0.500).